The following is a PBE calculation of a relaxed structure of Ca2MoRh, from Alexandria.

Output
symmetry: P4mm, No. 99
energy relative to the elements: 57 kJ/mol of formula units
M_tot: 0.0 μB per formula unit

Lattice parameters (Å, degrees): 3.273 3.273 9.044 90.00 90.00 89.98
Positions (direct):
Rh1 0.500 0.500 0.695
Mo1 0.000 0.000 0.563
Ca1 0.000 0.000 0.929
Ca2 0.500 0.500 0.312

***

The following is a PBE calculation of a relaxed structure of Ca2MoRh, from Alexandria.

Output
symmetry: C2/m, No. 12
energy relative to the elements: 198 kJ/mol of formula units
M_tot: 0.0 μB per formula unit

Lattice parameters (Å, degrees): 6.291 5.539 3.001 87.68 66.07 117.26
Positions (direct):
Ca1 0.500 0.000 0.500
Mo1 0.000 0.500 0.500
Ca2 0.000 0.000 0.000
Rh1 0.500 0.500 0.000

***

The following is a PBE calculation of a relaxed structure of Ca2MoRh, from Alexandria.

Output
symmetry: Cmmm, No. 65
energy relative to the elements: 149 kJ/mol of formula units
M_tot: 0.0 μB per formula unit

Lattice parameters (Å, degrees): 3.022 3.022 9.051 90.00 90.00 91.50
Positions (direct):
Mo1 0.500 0.500 0.250
Ca1 0.000 0.000 0.973
Ca2 0.000 0.000 0.527
Rh1 0.500 0.500 0.750

***

The following is a PBE calculation of a relaxed structure of Ca2MoRh, from Alexandria.

Output
symmetry: P4/mmm, No. 123
energy relative to the elements: 202 kJ/mol of formula units
M_tot: 3.3 μB per formula unit

Lattice parameters (Å, degrees): 4.629 4.629 4.108 90.00 90.00 90.00
Last column: magnetic moment on the atom in μB.
Positions (direct):
Ca1 0.500 0.500 0.000  0.04
Ca2 0.000 0.000 0.000  0.04
Rh1 0.000 0.500 0.500  0.25
Mo1 0.500 0.000 0.500  2.46

***

The following is a PBE calculation of a relaxed structure of Ca2MoRh, from Alexandria.

Output
symmetry: P2/m, No. 10
energy relative to the elements: 195 kJ/mol of formula units
M_tot: 0.0 μB per formula unit

Lattice parameters (Å, degrees): 4.748 3.040 6.015 69.94 90.00 90.00
Positions (direct):
Ca1 0.000 0.953 0.994
Rh1 0.500 0.750 0.750
Ca2 0.000 0.547 0.506
Mo1 0.500 0.250 0.250

***

The following is a PBE calculation of a relaxed structure of Ca2MoRh, from Alexandria.

Output
symmetry: Pmmm, No. 47
energy relative to the elements: 197 kJ/mol of formula units
M_tot: 0.0 μB per formula unit

Lattice parameters (Å, degrees): 2.997 4.730 5.754 90.00 90.00 90.00
Positions (direct):
Rh1 0.500 0.500 0.750
Mo1 0.500 0.500 0.250
Ca1 0.000 0.000 0.506
Ca2 0.000 0.000 0.994

***

The following is a PBE calculation of a relaxed structure of Ca2MoRh, from Alexandria.

Output
symmetry: F-43m, No. 216
energy relative to the elements: 194 kJ/mol of formula units
M_tot: 1.2 μB per formula unit

Lattice parameters (Å, degrees): 4.868 4.868 4.868 120.00 119.99 90.01
Last column: magnetic moment on the atom in μB.
Positions (direct):
Ca1 0.250 0.750 0.500  0.06
Ca2 0.000 0.000 0.000  0.01
Rh1 0.750 0.250 0.500  0.05
Mo1 0.500 0.500 0.000  0.95

***

The following is a PBE calculation of a relaxed structure of Ca2MoRh, from Alexandria.

Output
symmetry: I-42d, No. 122
energy relative to the elements: 301 kJ/mol of formula units
M_tot: 0.0 μB per formula unit

Lattice parameters (Å, degrees): 8.150 8.150 6.378 50.29 50.29 90.00
Positions (direct):
Ca1 0.080 0.625 0.250
Rh1 0.750 0.250 0.500
Ca2 0.670 0.125 0.250
Mo1 0.500 0.500 0.000
Ca3 0.375 0.330 0.750
Ca4 0.875 0.920 0.750
Rh2 0.000 0.000 0.000
Mo2 0.250 0.750 0.500

***

The following is a PBE calculation of a relaxed structure of CaMoRh3, from Alexandria.

Output
symmetry: Pm-3m, No. 221
energy relative to the elements: 180 kJ/mol of formula units
M_tot: 0.0 μB per formula unit

Lattice parameters (Å, degrees): 4.740 4.740 4.740 90.00 90.00 90.00
Positions (direct):
Mo1 0.000 0.000 0.000
Rh1 0.500 0.000 0.000
Rh2 0.000 0.500 0.000
Rh3 0.000 0.000 0.500
Ca1 0.500 0.500 0.500

***

The following is a PBE calculation of a relaxed structure of Ca2MoRh, from Alexandria.

Output
symmetry: Immm, No. 71
energy relative to the elements: 202 kJ/mol of formula units
M_tot: 1.9 μB per formula unit

Lattice parameters (Å, degrees): 5.719 5.719 5.719 144.59 128.37 64.16
Last column: magnetic moment on the atom in μB.
Positions (direct):
Mo1 0.750 0.250 0.500  1.58
Ca1 0.024 0.024 0.000  -0.01
Rh1 0.250 0.750 0.500  0.16
Ca2 0.476 0.476 0.000  -0.01

***

The following is a PBE calculation of a relaxed structure of Ca3MoRh, from Alexandria.

Output
symmetry: Pm-3m, No. 221
energy relative to the elements: 281 kJ/mol of formula units
M_tot: 4.4 μB per formula unit

Lattice parameters (Å, degrees): 5.411 5.411 5.411 90.00 90.00 90.00
Last column: magnetic moment on the atom in μB.
Positions (direct):
Ca1 0.000 0.000 0.500  -0.01
Mo1 0.500 0.500 0.500  3.54
Rh1 0.000 0.000 0.000  0.10
Ca2 0.500 0.000 0.000  -0.01
Ca3 0.000 0.500 0.000  -0.02

***

The following is a PBE calculation of a relaxed structure of Ca2MoRh, from Alexandria.

Output
symmetry: Fm-3m, No. 225
energy relative to the elements: 206 kJ/mol of formula units
M_tot: 3.6 μB per formula unit

Lattice parameters (Å, degrees): 5.003 5.003 5.003 60.00 60.00 60.00
Last column: magnetic moment on the atom in μB.
Positions (direct):
Rh1 0.500 0.500 0.500  0.21
Ca1 0.750 0.750 0.750  0.05
Mo1 0.000 0.000 0.000  2.68
Ca2 0.250 0.250 0.250  0.05

***

The following is a PBE calculation of a relaxed structure of Ca2MoRhSe, from Alexandria.

Output
symmetry: P4/mmm, No. 123
formation energy without anion corrections: 691 meV per atom
M_tot: 2.2 μB per formula unit

Lattice parameters (Å, degrees): 5.605 4.651 5.605 90.00 90.00 90.00
Last column: magnetic moment on the atom in μB.
Positions (direct):
Se1 0.000 0.500 0.000  0.00
Rh1 0.500 0.500 0.500  1.00
Mo1 0.000 0.000 0.000  0.90
Ca1 0.500 0.000 0.000  0.03
Ca2 0.000 0.000 0.500  0.01

***

The following is a PBE calculation of a relaxed structure of Ca2SnMoRh, from Alexandria.

Output
symmetry: P4/mmm, No. 123
energy relative to the elements: 209 kJ/mol of formula units
M_tot: 4.1 μB per formula unit

Lattice parameters (Å, degrees): 5.311 5.081 5.311 90.00 90.00 90.00
Last column: magnetic moment on the atom in μB.
Positions (direct):
Sn1 0.000 0.500 0.000  -0.06
Rh1 0.000 0.000 0.000  0.07
Mo1 0.500 0.500 0.500  3.44
Ca1 0.500 0.000 0.000  -0.01
Ca2 0.000 0.000 0.500  0.00

***

The following is a PBE calculation of a relaxed structure of CaTeMo2Rh, from Alexandria.

Output
symmetry: P4/mmm, No. 123
formation energy without anion corrections: 2385 meV per atom
M_tot: 0.0 μB per formula unit

Lattice parameters (Å, degrees): 4.584 5.298 4.584 90.00 90.00 90.00
Positions (direct):
Te1 0.000 0.500 0.000
Rh1 0.500 0.500 0.500
Mo1 0.000 0.000 0.500
Mo2 0.500 0.000 0.000
Ca1 0.000 0.000 0.000

***

The following is a PBE calculation of a relaxed structure of CaMo2RhW, from Alexandria.

Output
symmetry: P4/mmm, No. 123
energy relative to the elements: 865 kJ/mol of formula units
M_tot: 0.0 μB per formula unit

Lattice parameters (Å, degrees): 4.737 4.809 4.737 90.00 90.00 90.00
Positions (direct):
Rh1 0.000 0.000 0.000
Mo1 0.000 0.000 0.500
Ca1 0.000 0.500 0.000
W1 0.500 0.500 0.500
Mo2 0.500 0.000 0.000

***

The following is a PBE calculation of a relaxed structure of CaMoRh2W, from Alexandria.

Output
symmetry: P4/mmm, No. 123
energy relative to the elements: 813 kJ/mol of formula units
M_tot: 3.2 μB per formula unit

Lattice parameters (Å, degrees): 4.676 4.971 4.676 90.00 90.00 90.00
Last column: magnetic moment on the atom in μB.
Positions (direct):
Mo1 0.000 0.000 0.000  -0.12
W1 0.500 0.500 0.500  2.49
Ca1 0.000 0.500 0.000  0.03
Rh1 0.000 0.000 0.500  0.01
Rh2 0.500 0.000 0.000  0.05

***

The following is a PBE calculation of a relaxed structure of CaMo2Ru2, from Alexandria.

Output
symmetry: P4/mbm, No. 127
energy relative to the elements: 106 kJ/mol of formula units
M_tot: 0.0 μB per formula unit

Lattice parameters (Å, degrees): 7.818 7.818 2.849 90.00 90.00 90.00
Positions (direct):
Mo1 0.148 0.648 0.500
Mo2 0.648 0.852 0.500
Ca1 0.500 0.500 0.000
Ru1 0.640 0.140 0.000
Ru2 0.360 0.860 0.000
Mo3 0.852 0.352 0.500
Ru3 0.140 0.360 0.000
Mo4 0.352 0.148 0.500
Ru4 0.860 0.640 0.000
Ca2 0.000 0.000 0.000

***

The following is a PBE calculation of a relaxed structure of CaMoRu3, from Alexandria.

Output
symmetry: Pm-3m, No. 221
energy relative to the elements: 440 kJ/mol of formula units
M_tot: 0.0 μB per formula unit

Lattice parameters (Å, degrees): 4.713 4.713 4.713 90.00 90.00 90.00
Positions (direct):
Ru1 0.000 0.500 0.000
Ru2 0.500 0.000 0.000
Mo1 0.000 0.000 0.000
Ca1 0.500 0.500 0.500
Ru3 0.000 0.000 0.500

***

The following is a PBE calculation of a relaxed structure of CaMoRu4, from Alexandria.

Output
symmetry: F-43m, No. 216
energy relative to the elements: 176 kJ/mol of formula units
M_tot: 0.0 μB per formula unit

Lattice parameters (Å, degrees): 5.179 5.179 5.179 60.00 60.00 60.00
Positions (direct):
Ca1 0.750 0.750 0.750
Ru1 0.375 0.375 0.875
Ru2 0.875 0.375 0.375
Ru3 0.375 0.375 0.375
Mo1 0.000 0.000 0.000
Ru4 0.375 0.875 0.375

***

The following is a PBE calculation of a relaxed structure of CaMo4Ru, from Alexandria.

Output
symmetry: F-43m, No. 216
energy relative to the elements: 267 kJ/mol of formula units
M_tot: 0.0 μB per formula unit

Lattice parameters (Å, degrees): 5.312 5.312 5.312 60.00 60.00 60.00
Positions (direct):
Ru1 0.750 0.750 0.750
Ca1 0.000 0.000 0.000
Mo1 0.375 0.375 0.876
Mo2 0.876 0.375 0.375
Mo3 0.375 0.876 0.375
Mo4 0.375 0.375 0.375

***

The following is a PBE calculation of a relaxed structure of CaMo3Ru, from Alexandria.

Output
symmetry: Pm-3m, No. 221
energy relative to the elements: 1353 kJ/mol of formula units
M_tot: 0.0 μB per formula unit

Lattice parameters (Å, degrees): 4.505 4.505 4.505 90.00 90.00 90.00
Positions (direct):
Mo1 0.500 0.000 0.000
Ru1 0.500 0.500 0.500
Ca1 0.000 0.000 0.000
Mo2 0.000 0.000 0.500
Mo3 0.000 0.500 0.000

***

The following is a PBE calculation of a relaxed structure of CaMo3Ru, from Alexandria.

Output
symmetry: Pm-3m, No. 221
energy relative to the elements: 601 kJ/mol of formula units
M_tot: 2.1 μB per formula unit

Lattice parameters (Å, degrees): 4.798 4.798 4.798 90.00 90.00 90.00
Last column: magnetic moment on the atom in μB.
Positions (direct):
Mo1 0.000 0.500 0.000  0.62
Mo2 0.500 0.000 0.000  0.45
Ca1 0.500 0.500 0.500  0.04
Ru1 0.000 0.000 0.000  -0.01
Mo3 0.000 0.000 0.500  0.69

***

The following is a PBE calculation of a relaxed structure of Ca4MoRu, from Alexandria.

Output
symmetry: F-43m, No. 216
energy relative to the elements: 762 kJ/mol of formula units
M_tot: 4.5 μB per formula unit

Lattice parameters (Å, degrees): 6.118 6.118 6.118 60.00 60.00 60.00
Last column: magnetic moment on the atom in μB.
Positions (direct):
Ca1 0.877 0.374 0.374  0.00
Ca2 0.374 0.374 0.374  0.00
Ca3 0.374 0.374 0.877  0.00
Mo1 0.750 0.750 0.750  2.92
Ca4 0.374 0.877 0.374  0.00
Ru1 0.000 0.000 0.000  0.76

***

The following is a PBE calculation of a relaxed structure of Ca2MoRuSe, from Alexandria.

Output
symmetry: P4/mmm, No. 123
formation energy without anion corrections: 292 meV per atom
M_tot: 2.5 μB per formula unit

Lattice parameters (Å, degrees): 5.484 4.633 5.484 90.00 90.00 90.00
Last column: magnetic moment on the atom in μB.
Positions (direct):
Se1 0.500 0.500 0.500  -0.01
Mo1 0.000 0.500 0.000  1.86
Ca1 0.500 0.000 0.000  0.03
Ca2 0.000 0.000 0.500  0.02
Ru1 0.000 0.000 0.000  0.01

***

The following is a PBE calculation of a relaxed structure of CaMo3S, from Alexandria.

Output
symmetry: Pm-3m, No. 221
formation energy without anion corrections: 2888 meV per atom
M_tot: 0.0 μB per formula unit

Lattice parameters (Å, degrees): 4.680 4.680 4.680 90.00 90.00 90.00
Positions (direct):
Mo1 0.000 0.500 0.000
Mo2 0.500 0.000 0.000
S1 0.500 0.500 0.500
Ca1 0.000 0.000 0.000
Mo3 0.000 0.000 0.500

***

The following is a PBE calculation of a relaxed structure of CaMoS2, from Alexandria.

Output
symmetry: R-3m, No. 166
formation energy without anion corrections: -327 meV per atom
M_tot: 2.5 μB per formula unit

Lattice parameters (Å, degrees): 8.228 8.228 8.228 26.91 26.91 26.91
Last column: magnetic moment on the atom in μB.
Positions (direct):
Mo1 0.000 0.000 0.000  2.11
S1 0.097 0.097 0.097  -0.04
Ca1 0.500 0.500 0.500  0.02
S2 0.903 0.903 0.903  -0.04

***

The following is a PBE calculation of a relaxed structure of Ca2Mo2S, from Alexandria.

Output
symmetry: I4/mmm, No. 139
formation energy without anion corrections: -290 meV per atom
M_tot: 0.0 μB per formula unit

Lattice parameters (Å, degrees): 3.557 3.557 9.335 79.02 79.02 90.00
Positions (direct):
Ca1 0.408 0.408 0.184
Ca2 0.592 0.592 0.816
Mo1 0.750 0.250 0.500
S1 0.000 0.000 0.000
Mo2 0.250 0.750 0.500

***

The following is a PBE calculation of a relaxed structure of CaMoS2, from Alexandria.

Output
symmetry: I-42d, No. 122
formation energy without anion corrections: -756 meV per atom
M_tot: 0.0 μB per formula unit

Lattice parameters (Å, degrees): 5.632 5.632 7.292 67.28 67.28 90.00
Positions (direct):
Mo1 0.000 0.000 0.000
S1 0.691 0.125 0.250
S2 0.375 0.309 0.750
Ca1 0.250 0.750 0.500
S3 0.875 0.941 0.750
Mo2 0.750 0.250 0.500
Ca2 0.500 0.500 0.000
S4 0.059 0.625 0.250